Version 1
BaZrTe: relaxed, PBEsol.

Geometry as POSCAR:
```
BaZrTe
1.0
0.000 3.883 3.883
3.883 0.000 3.883
3.883 3.883 0.000
Ba Zr Te
1 1 1
Direct
0.000 0.000 0.000
0.750 0.750 0.750
0.250 0.250 0.250
```

Results
* space group: F-43m (216)
* density: 5.052 g cm⁻³

Version 2
BaZrTe: relaxed, PBEsol.

Geometry as POSCAR:
```
BaZrTe
1.0
0.000 3.592 3.592
3.592 0.000 3.592
3.592 3.592 0.000
Ba Zr Te
1 1 1
Direct
0.000 0.000 0.000
0.250 0.250 0.250
0.500 0.500 0.500
```

Results
* space group: F-43m (216)
* density: 6.383 g cm⁻³

Short version: version 1 is the least stable of them.